## SrTa2Si (GGA-PBEsol)

Data for a relaxed SrTa2Si crystal.

* volume: 78.6 Å³/f.u.
* formation energy from raw total energies: 0.733 eV per atom

Structure (POSCAR):
```
SrTa2Si
1.0
3.810 0.000 0.000
0.000 4.479 0.000
0.000 0.000 4.606
Sr Ta Si
1 2 1
Cartesian
0.000 0.000 0.000
0.000 2.239 2.303
1.905 0.000 2.303
1.905 2.239 0.000
```